No. 1
Here is an optimized crystal structure of NaSrMo2Rh from Alexandria via LeMat-Bulk. Energies are from PBE.

Energy   -22.3 eV per cell
Energy relative to the elements   188 kJ/mol of atoms

Lattice parameters (Å, degrees): 4.9344 4.9344 4.7977 90.00 90.00 90.00
Closest atoms and distances in Å follow each position.
Space group P4/mmm (No. 123)
One atom of each set of equivalent atoms:
1 Na 0.0000 0.0000 0.0000 [1 per cell]  2 Rh 2.40, 4 Mo 2.47
2 Sr 0.5000 0.5000 0.5000 [1 per cell]  8 Mo 3.44, 4 Rh 3.49
3 Mo 0.0000 0.5000 0.0000 [2 per cell]  2 Na 2.47
4 Rh 0.0000 0.0000 0.5000 [1 per cell]  2 Na 2.40



No. 2
Here is an optimized crystal structure of NaSr2MoRh from Alexandria via LeMat-Bulk. Energies are from PBE.

Energy   -20.7 eV per cell
Energy relative to the elements   42 kJ/mol of atoms

Lattice parameters (Å, degrees): 5.9846 5.9846 4.8092 90.00 90.00 90.00
Closest atoms and distances in Å follow each position.
Space group P4/mmm (No. 123)
One atom of each set of equivalent atoms:
1 Na 0.0000 0.0000 0.0000 [1 per cell]  8 Sr 3.84, 4 Mo 4.23
2 Sr 0.0000 0.5000 0.5000 [2 per cell]  2 Rh 2.99
3 Mo 0.5000 0.5000 0.0000 [1 per cell]  2 Rh 2.40
4 Rh 0.5000 0.5000 0.5000 [1 per cell]  2 Mo 2.40